1.
Below is a geometry-optimized MgAuI2 structure, with properties calculated at the PBE-GGA level.

```
data_MgAuI2
_space_group_name_H-M_alt 'I -4 2 d'
_space_group_IT_number 122
_space_group_name_Hall 'I -4 2bw'
_cell_length_a 7.035
_cell_length_b 7.035
_cell_length_c 12.555
_cell_angle_alpha 90.00
_cell_angle_beta 90.00
_cell_angle_gamma 90.00
loop_
_atom_site_label
_atom_site_type_symbol
_atom_site_fract_x
_atom_site_fract_y
_atom_site_fract_z
_atom_site_occupancy
Mg1 Mg 0.000 0.000 0.000 1
Au1 Au 0.000 0.000 0.500 1
I1 I 0.218 0.250 0.125 1
```

## Properties
For the uncorrected formation energy, the calculation gives -0.1637 eV per atom. For the energy above the lowest structure with this stoichiometry, the calculation gives 0 meV per atom.

2.
Below is a geometry-optimized MgAu2I structure, with properties calculated at the PBE-GGA level.

```
data_MgAu2I
_space_group_name_H-M_alt 'F m -3 m'
_space_group_IT_number 225
_space_group_name_Hall '-F 4 2 3'
_cell_length_a 7.122
_cell_length_b 7.122
_cell_length_c 7.122
_cell_angle_alpha 90.00
_cell_angle_beta 90.00
_cell_angle_gamma 90.00
loop_
_atom_site_label
_atom_site_type_symbol
_atom_site_fract_x
_atom_site_fract_y
_atom_site_fract_z
_atom_site_occupancy
Mg1 Mg 0.000 0.000 0.000 1
Au1 Au 0.250 0.250 0.250 1
I1 I 0.000 0.000 0.500 1
```

## Properties
For the uncorrected formation energy, the calculation gives 0.1526 eV per atom. For the energy above the lowest structure with this stoichiometry, the calculation gives 165 meV per atom.

3.
Below is a geometry-optimized Mg2Au2I structure, with properties calculated at the PBE-GGA level.

```
data_Mg2Au2I
_space_group_name_H-M_alt 'I 4/m m m'
_space_group_IT_number 139
_space_group_name_Hall '-I 4 2'
_cell_length_a 4.572
_cell_length_b 4.572
_cell_length_c 11.620
_cell_angle_alpha 90.00
_cell_angle_beta 90.00
_cell_angle_gamma 90.00
loop_
_atom_site_label
_atom_site_type_symbol
_atom_site_fract_x
_atom_site_fract_y
_atom_site_fract_z
_atom_site_occupancy
Mg1 Mg 0.000 0.500 0.250 1
Au1 Au 0.000 0.000 0.124 1
I1 I 0.000 0.000 0.500 1
```

## Properties
For the uncorrected formation energy, the calculation gives -0.3232 eV per atom. For the energy above the lowest structure with this stoichiometry, the calculation gives 0 meV per atom.

4.
Below is a geometry-optimized MgAuI3 structure, with properties calculated at the PBE-GGA level.

```
data_MgAuI3
_space_group_name_H-M_alt 'C 1 2/m 1'
_space_group_IT_number 12
_cell_length_a 17.323
_cell_length_b 4.266
_cell_length_c 13.105
_cell_angle_alpha 90.00
_cell_angle_beta 123.16
_cell_angle_gamma 90.00
loop_
_space_group_symop_operation_xyz
'x,y,z'
'-x,-y,-z'
'-x,y,-z'
'x,-y,z'
'x+1/2,y+1/2,z'
'-x+1/2,-y+1/2,-z'
'-x+1/2,y+1/2,-z'
'x+1/2,-y+1/2,z'
loop_
_atom_site_label
_atom_site_type_symbol
_atom_site_fract_x
_atom_site_fract_y
_atom_site_fract_z
_atom_site_occupancy
Mg1 Mg 0.145 0.000 0.341 1
Au1 Au 0.004 0.500 0.195 1
I1 I 0.097 0.000 0.810 1
I2 I 0.151 0.500 0.505 1
I3 I 0.154 0.500 0.185 1
```

## Properties
For the uncorrected formation energy, the calculation gives -0.5660 eV per atom. For the energy above the lowest structure with this stoichiometry, the calculation gives 0 meV per atom.

> Among the records above, which one has the highest energy above the lowest structure with this stoichiometry?

MgAu2I

Repeat the third record exactly.
Below is a geometry-optimized Mg2Au2I structure, with properties calculated at the PBE-GGA level.

```
data_Mg2Au2I
_space_group_name_H-M_alt 'I 4/m m m'
_space_group_IT_number 139
_space_group_name_Hall '-I 4 2'
_cell_length_a 4.572
_cell_length_b 4.572
_cell_length_c 11.620
_cell_angle_alpha 90.00
_cell_angle_beta 90.00
_cell_angle_gamma 90.00
loop_
_atom_site_label
_atom_site_type_symbol
_atom_site_fract_x
_atom_site_fract_y
_atom_site_fract_z
_atom_site_occupancy
Mg1 Mg 0.000 0.500 0.250 1
Au1 Au 0.000 0.000 0.124 1
I1 I 0.000 0.000 0.500 1
```

## Properties
For the uncorrected formation energy, the calculation gives -0.3232 eV per atom. For the energy above the lowest structure with this stoichiometry, the calculation gives 0 meV per atom.

Please write out number 2 again, unchanged.
Below is a geometry-optimized MgAu2I structure, with properties calculated at the PBE-GGA level.

```
data_MgAu2I
_space_group_name_H-M_alt 'F m -3 m'
_space_group_IT_number 225
_space_group_name_Hall '-F 4 2 3'
_cell_length_a 7.122
_cell_length_b 7.122
_cell_length_c 7.122
_cell_angle_alpha 90.00
_cell_angle_beta 90.00
_cell_angle_gamma 90.00
loop_
_atom_site_label
_atom_site_type_symbol
_atom_site_fract_x
_atom_site_fract_y
_atom_site_fract_z
_atom_site_occupancy
Mg1 Mg 0.000 0.000 0.000 1
Au1 Au 0.250 0.250 0.250 1
I1 I 0.000 0.000 0.500 1
```

## Properties
For the uncorrected formation energy, the calculation gives 0.1526 eV per atom. For the energy above the lowest structure with this stoichiometry, the calculation gives 165 meV per atom.